Below is a crystal of ScCrCl2 relaxed with PBEsol, with properties calculated at the SCAN level.

abc: 3.295 3.295 8.518
angles: 78.85 78.85 60.00
Last column: magnetic moment on the atom in μB.
Fractional positions:
Sc 0.500 0.500 0.500  -0.05
Cl 0.902 0.902 0.293  -0.01
Cl 0.098 0.098 0.707  -0.01
Cr 0.000 0.000 0.000  4.03

**Total magnetization**: 1.137 μB/atom
**Space group**: R-3m
**ΔE to the lowest computed polymorph**: 0.00 eV/f.u.
**Final energy**: -13.13 eV/atom
**Raw formation energy**: -3.9 eV/f.u.
**Crystal system**: trigonal